No. 1
An optimized crystal structure of Tm3ScSb3. Source: Alexandria, functional PBE.

a b c (Å): 8.706 8.706 7.864
angles (deg): 56.39 56.39 60.00
Sites, in units of the cell vectors:
Sb 0.077 0.477 0.755
Sb 0.691 0.077 0.755
Sb 0.923 0.523 0.245
Sb 0.523 0.309 0.245
Sb 0.309 0.923 0.245
Sb 0.477 0.691 0.755
Tm 0.914 0.175 0.250
Tm 0.339 0.086 0.750
Tm 0.825 0.339 0.750
Tm 0.175 0.661 0.250
Tm 0.086 0.825 0.750
Tm 0.661 0.914 0.250
Sc 0.666 0.666 0.002
Sc 0.334 0.334 0.998

E_form (uncorrected), kJ per mole of atoms: -80.3
Magnetic moment, μB/atom: 0.0000



No. 2
An optimized crystal structure of Ba4Mg. Source: Alexandria, functional PBE.

a b c (Å): 7.348 7.348 7.348
angles (deg): 109.47 109.47 109.47
Sites, in units of the cell vectors:
Ba 0.500 0.000 0.000
Ba 0.000 0.000 0.500
Ba 0.500 0.500 0.500
Ba 0.000 0.500 0.000
Mg 0.000 0.000 0.000

DFT formation energy, eV per atom: 0.2041
Offset from the most stable computed form, eV per atom: 0.210
Magnetic moment, μB/atom: 0.0000



No. 3
An optimized crystal structure of SrVRh. Source: Alexandria, functional PBE.

a b c (Å): 4.333 4.333 7.762
angles (deg): 90.00 90.00 90.00
Sites, in units of the cell vectors:
V 0.000 0.000 0.500
V 0.500 0.500 0.500
Sr 0.000 0.500 0.831
Sr 0.500 0.000 0.169
Rh 0.000 0.500 0.353
Rh 0.500 0.000 0.647

DFT formation energy, eV per atom: -0.1612
Magnetic moment, μB/atom: 0.0000